The following is a PBE-GGA calculation of crystalline YCoRe2 at its relaxed geometry, from Alexandria via LeMat-Bulk.

Distance to the lowest polymorph of the same formula, eV per atom: 0.3404
Space-group type: I4/mmm, No. 139
Total magnetic moment, μB per cell: 1.18
Density of states at the Fermi level, states/eV per atom: 1.082
Crystal system: tetragonal
E, Ry/atom: -0.672
Energy of formation from the pure elements, eV per atom: 0.47

a = 5.427 Å, b = 5.427 Å, c = 5.427 Å
α = 139.27°, β = 139.27°, γ = 58.96°
Sites, in units of the cell vectors:
Co 0.750 0.250 0.500
Re 0.000 0.000 0.000
Re 0.500 0.500 0.000
Y 0.250 0.750 0.500

The following is a PBE-GGA calculation of crystalline YCoRe2 at its relaxed geometry, from Alexandria via LeMat-Bulk.

Distance to the lowest polymorph of the same formula, eV per atom: 0.6743
Space-group type: Fm-3m, No. 225
Total magnetic moment, μB per cell: 0.00
Density of states at the Fermi level, states/eV per atom: 1.466
Crystal system: cubic
E, Ry/atom: -0.647
Energy of formation from the pure elements, eV per atom: 0.81

a = 4.492 Å, b = 4.492 Å, c = 4.492 Å
α = 60.00°, β = 60.00°, γ = 60.00°
Sites, in units of the cell vectors:
Y 0.500 0.500 0.500
Re 0.250 0.250 0.250
Re 0.750 0.750 0.750
Co 0.000 0.000 0.000

The following is a PBE-GGA calculation of crystalline YCoRe2 at its relaxed geometry, from Alexandria via LeMat-Bulk.

Distance to the lowest polymorph of the same formula, eV per atom: 0.1674
Space-group type: Pmmm, No. 47
Total magnetic moment, μB per cell: 1.46
Density of states at the Fermi level, states/eV per atom: 0.650
Crystal system: orthorhombic
E, Ry/atom: -0.685
Energy of formation from the pure elements, eV per atom: 0.30

a = 3.190 Å, b = 4.351 Å, c = 4.754 Å
α = 90.00°, β = 90.00°, γ = 90.00°
Sites, in units of the cell vectors:
Co 0.000 0.500 0.500
Re 0.000 0.000 0.000
Re 0.500 0.500 0.000
Y 0.500 0.000 0.500

The following is a PBE-GGA calculation of crystalline YCoRe2 at its relaxed geometry, from Alexandria via LeMat-Bulk.

Distance to the lowest polymorph of the same formula, eV per atom: 0.2891
Space-group type: Imm2, No. 44
Total magnetic moment, μB per cell: 1.13
Density of states at the Fermi level, states/eV per atom: 1.193
Crystal system: orthorhombic
E, Ry/atom: -0.676
Energy of formation from the pure elements, eV per atom: 0.42

a = 5.291 Å, b = 5.291 Å, c = 5.291 Å
α = 144.92°, β = 126.25°, γ = 65.82°
Sites, in units of the cell vectors:
Co 0.224 0.724 0.500
Re 0.001 0.001 0.000
Re 0.779 0.279 0.500
Y 0.496 0.496 0.000

The following is a PBE-GGA calculation of crystalline YCo2Re2 at its relaxed geometry, from Alexandria via LeMat-Bulk.

Distance to the lowest polymorph of the same formula, eV per atom: 0.0000
Space-group type: I4/mmm, No. 139
Total magnetic moment, μB per cell: 0.00
Density of states at the Fermi level, states/eV per atom: 1.190
Crystal system: tetragonal
E, Ry/atom: -0.667
Energy of formation from the pure elements, eV per atom: 0.04

a = 3.865 Å, b = 3.865 Å, c = 6.034 Å
α = 71.32°, β = 71.32°, γ = 90.00°
Sites, in units of the cell vectors:
Y 0.000 0.000 0.000
Re 0.750 0.250 0.500
Re 0.250 0.750 0.500
Co 0.394 0.394 0.211
Co 0.606 0.606 0.789

The following is a PBE-GGA calculation of crystalline YCoRe2 at its relaxed geometry, from Alexandria via LeMat-Bulk.

Distance to the lowest polymorph of the same formula, eV per atom: 0.1279
Space-group type: F-43m, No. 216
Total magnetic moment, μB per cell: 1.83
Density of states at the Fermi level, states/eV per atom: 0.506
Crystal system: cubic
E, Ry/atom: -0.688
Energy of formation from the pure elements, eV per atom: 0.26

a = 4.523 Å, b = 4.523 Å, c = 4.523 Å
α = 120.02°, β = 120.02°, γ = 89.96°
Sites, in units of the cell vectors:
Co 0.750 0.250 0.500
Re 0.000 0.000 0.000
Re 0.250 0.750 0.500
Y 0.500 0.500 0.000